No. 1
The following is a DFT calculation (PBE-GGA) of a relaxed structure of AsC2.

abc: 4.1704 4.1704 4.1130
angles: 90.00 90.00 120.00
With the nearest neighbours (Å) after each atom.
Element x y z (fractional)
As 0.6667 0.3333 0.7500  2 C 2.06
C 0.0000 0.0000 0.5000  2 C 2.06
C 0.3333 0.6667 0.7500  2 As 2.06
C 0.0000 0.0000 0.0000  2 C 2.06
C 0.6667 0.3333 0.2500  2 As 2.06
As 0.3333 0.6667 0.2500  2 C 2.06

Computed properties:
- Crystal system: hexagonal
- Relative energy among the computed polymorphs: 2.563 eV per atom
- Calculated formation energy: 2.914 eV/atom
- VASP energy: -4.785 eV per atom
- Space-group type: P6_3/mmc, No. 194

=====

No. 2
The following is a DFT calculation (PBE-GGA) of a relaxed structure of Ho6Tl3Ga.

abc: 3.6621 11.5579 13.9979
angles: 105.82 90.00 90.00
With the nearest neighbours (Å) after each atom.
Element x y z (fractional)
Ho 0.2500 0.4927 0.3219  4 Tl 3.11-3.37, 2 Ho 3.45
Ho 0.7500 0.8256 0.7578  1 Ga 2.99, 2 Tl 3.18
Tl 0.2500 0.6278 0.1416  8 Ho 3.15-3.39
Ho 0.7500 0.5073 0.6781  4 Tl 3.11-3.37, 2 Ho 3.45
Ga 0.7500 0.0449 0.6831  7 Ho 2.91-3.06
Ho 0.7500 0.1126 0.4546  2 Ga 2.91, 2 Tl 3.26
Tl 0.7500 0.6476 0.5176  7 Ho 3.11-3.43
Ho 0.7500 0.8733 0.1367  2 Ga 3.05, 5 Tl 3.21-3.39
Ho 0.2500 0.6034 0.9116  4 Tl 3.15-3.16
Ho 0.2500 0.1267 0.8633  2 Ga 3.05, 5 Tl 3.21-3.39
Tl 0.2500 0.8846 0.9511  6 Ho 3.15-3.35, 2 Tl 3.22
Ga 0.2500 0.9551 0.3169  7 Ho 2.91-3.06
Tl 0.7500 0.3722 0.8584  8 Ho 3.15-3.39
Ho 0.2500 0.8874 0.5454  2 Ga 2.91, 2 Tl 3.26
Tl 0.2500 0.3524 0.4824  7 Ho 3.11-3.43
Ho 0.2500 0.2513 0.6677  2 Ga 3.06, 3 Tl 3.12-3.22, 1 Ho 3.42
Ho 0.7500 0.7487 0.3323  2 Ga 3.06, 3 Tl 3.12-3.22, 1 Ho 3.42
Ho 0.2500 0.1744 0.2422  1 Ga 2.99, 2 Tl 3.18
Ho 0.7500 0.3966 0.0884  4 Tl 3.15-3.16
Tl 0.7500 0.1154 0.0489  6 Ho 3.15-3.35, 2 Tl 3.22

Computed properties:
- Crystal system: monoclinic
- Calculated formation energy: -0.225 eV/atom
- VASP energy: -3.984 eV per atom
- Space-group type: P2_1/m, No. 11

=====

No. 3
The following is a DFT calculation (PBE-GGA) of a relaxed structure of Ac2PuThBi5.

abc: 5.8073 5.8073 12.1082
angles: 90.00 90.00 90.00
With the nearest neighbours (Å) after each atom.
Element x y z (fractional)
Bi 0.0000 0.0000 0.2453  1 Pu 2.97, 1 Th 3.08
Bi 0.0000 0.5000 0.5000  2 Th 2.90
Ac 0.5000 0.5000 0.2906  5 Bi 3.52-3.86
Ac 0.5000 0.5000 0.7094  5 Bi 3.52-3.86
Bi 0.0000 0.0000 0.7547  1 Pu 2.97, 1 Th 3.08
Pu 0.0000 0.0000 0.0000  2 Bi 2.97
Th 0.0000 0.0000 0.5000  6 Bi 2.90-3.08
Bi 0.5000 0.5000 0.0000  2 Ac 3.52
Bi 0.5000 0.0000 0.5000  2 Th 2.90

Computed properties:
- Crystal system: tetragonal
- Calculated formation energy: -0.069 eV/atom
- VASP energy: -5.555 eV per atom
- Space-group type: P4/mmm, No. 123

=====

No. 4
The following is a DFT calculation (PBE-GGA) of a relaxed structure of OsBr6N2.

abc: 9.4672 9.4699 7.4257
angles: 50.40 50.32 59.99
With the nearest neighbours (Å) after each atom.
Element x y z (fractional)
Br 0.9859 0.3738 0.4720  1 N 1.97
Br 0.6219 0.6291 0.7139  1 Os 2.40
Br 0.6288 0.0351 0.7141  1 Os 2.40
N 0.5935 0.5941 0.2184  1 Os 1.66
N 0.2226 0.2221 0.3331  3 Br 1.97
Br 0.3742 0.1683 0.4720  1 N 1.97
Br 0.0352 0.6221 0.7136  1 Os 2.40
Os 0.7039 0.7042 0.8877  1 N 1.66
Br 0.1685 0.9856 0.4723  1 N 1.97

Computed properties:
- E_form (uncorrected): 0.4221 eV/atom
- Crystal system: triclinic
- VASP energy: -3.791 eV per atom
- Space-group type: P1, No. 1

=====

No. 5
The following is a DFT calculation (PBE-GGA) of a relaxed structure of Mg2Tl2P.

abc: 6.8501 6.8501 5.2629
angles: 90.00 90.00 90.00
With the nearest neighbours (Å) after each atom.
Element x y z (fractional)
Tl 0.1645 0.6645 0.5000  6 Mg 3.15-3.43, 1 Tl 3.19
Tl 0.3355 0.1645 0.5000  6 Mg 3.15-3.43, 1 Tl 3.19
Mg 0.1574 0.3426 0.0000  2 P 2.58
P 0.5000 0.5000 0.0000  4 Mg 2.58
Mg 0.3426 0.8426 0.0000  2 P 2.58
Mg 0.8426 0.6574 0.0000  2 P 2.58
P 0.0000 0.0000 0.0000  4 Mg 2.58
Tl 0.6645 0.8355 0.5000  6 Mg 3.15-3.43, 1 Tl 3.19
Tl 0.8355 0.3355 0.5000  6 Mg 3.15-3.43, 1 Tl 3.19
Mg 0.6574 0.1574 0.0000  2 P 2.58

Computed properties:
- Crystal system: tetragonal
- Calculated formation energy: -0.062 eV/atom
- VASP energy: -2.728 eV per atom
- Space-group type: P4/mbm, No. 127

=====

No. 6
The following is a DFT calculation (PBE-GGA) of a relaxed structure of ReTc2Ir.

abc: 4.7832 5.5580 10.0000
angles: 90.00 118.77 90.00
With the nearest neighbours (Å) after each atom.
Element x y z (fractional)
Re 0.5425 0.0026 0.3744  2 Re 2.70-2.73, 6 Tc 2.71-2.81, 4 Ir 2.71-2.79
Tc 0.0412 0.5026 0.8744  6 Tc 2.69-2.78, 4 Ir 2.71-2.79, 2 Re 2.75-2.81
Tc 0.0504 0.2524 0.3770  5 Tc 2.69-2.78, 4 Re 2.71-2.79, 3 Ir 2.74-2.79
Tc 0.5412 0.4974 0.3744  6 Tc 2.69-2.78, 4 Ir 2.71-2.79, 2 Re 2.75-2.81
Ir 0.4546 0.7497 0.1257  7 Tc 2.71-2.79, 4 Re 2.71-2.79, 1 Ir 2.72
Tc 0.4496 0.2524 0.1230  5 Tc 2.69-2.78, 4 Re 2.71-2.79, 3 Ir 2.74-2.79
Ir 0.5454 0.2503 0.8743  7 Tc 2.71-2.79, 4 Re 2.71-2.79, 1 Ir 2.72
Tc 0.5504 0.7476 0.8770  5 Tc 2.69-2.78, 4 Re 2.71-2.79, 3 Ir 2.74-2.79
Tc 0.9588 0.4974 0.1256  6 Tc 2.69-2.78, 4 Ir 2.71-2.79, 2 Re 2.75-2.81
Re 0.4575 0.9974 0.6256  2 Re 2.70-2.73, 6 Tc 2.71-2.81, 4 Ir 2.71-2.79
Re 0.0425 0.9974 0.8744  2 Re 2.70-2.73, 6 Tc 2.71-2.81, 4 Ir 2.71-2.79
Tc 0.9496 0.7476 0.6230  5 Tc 2.69-2.78, 4 Re 2.71-2.79, 3 Ir 2.74-2.79
Ir 0.9546 0.2503 0.6257  7 Tc 2.71-2.79, 4 Re 2.71-2.79, 1 Ir 2.72
Tc 0.4588 0.5026 0.6256  6 Tc 2.69-2.78, 4 Ir 2.71-2.79, 2 Re 2.75-2.81
Re 0.9575 0.0026 0.1256  2 Re 2.70-2.73, 6 Tc 2.71-2.81, 4 Ir 2.71-2.79
Ir 0.0454 0.7497 0.3743  7 Tc 2.71-2.79, 4 Re 2.71-2.79, 1 Ir 2.72

Computed properties:
- Crystal system: monoclinic
- Relative energy among the computed polymorphs: 0.000 eV per atom
- Calculated formation energy: -0.179 eV/atom
- VASP energy: -10.689 eV per atom
- Space-group type: P2/c, No. 13